Run a
Entry from the Alexandria database: crystalline Sr2YSnO at its relaxed geometry (PBE-GGA).

Unit cell a=5.140 b=5.140 c=4.840 alpha=90.00 beta=90.00 gamma=90.00
Space group P4/mmm (No. 123)
Symmetry-distinct sites (fractional):
Sr: 0.000 0.500 0.000 [2 per cell]
Y: 0.000 0.000 0.500 [1 per cell]
Sn: 0.500 0.500 0.500 [1 per cell]
O: 0.000 0.000 0.000 [1 per cell]

***

Run b
Entry from the Alexandria database: crystalline Sr2YSnO at its relaxed geometry (PBE-GGA).

Unit cell a=6.816 b=6.816 c=4.141 alpha=90.00 beta=90.00 gamma=90.00
Space group P4/mmm (No. 123)
Symmetry-distinct sites (fractional):
Sr: 0.000 0.500 0.000 [2 per cell]
Y: 0.000 0.000 0.000 [1 per cell]
Sn: 0.500 0.500 0.500 [1 per cell]
O: 0.000 0.000 0.500 [1 per cell]

***

Least stable of them? run b.

***

Run a
Entry from the Alexandria database: crystalline Ta2SnO at its relaxed geometry (PBE-GGA).

Unit cell a=5.198 b=5.198 c=12.038 alpha=90.00 beta=90.00 gamma=90.00
Space group I-42d (No. 122)
Symmetry-distinct sites (fractional):
Ta: 0.101 0.250 0.125 [8 per cell]
Sn: 0.000 0.000 0.500 [4 per cell]
O: 0.000 0.000 0.000 [4 per cell]

***

Run b
Entry from the Alexandria database: crystalline Ta2SnO at its relaxed geometry (PBE-GGA).

Unit cell a=6.411 b=6.411 c=6.411 alpha=90.00 beta=90.00 gamma=90.00
Space group Fm-3m (No. 225)
Symmetry-distinct sites (fractional):
Ta: 0.250 0.250 0.250 [8 per cell]
Sn: 0.000 0.000 0.000 [4 per cell]
O: 0.000 0.000 0.500 [4 per cell]

***

Least stable of them? run b.

***

Run a
Entry from the Alexandria database: crystalline Tb4Sn2O at its relaxed geometry (PBE-GGA).

Unit cell a=4.595 b=4.595 c=16.839 alpha=90.00 beta=90.00 gamma=90.00
Space group I4/mmm (No. 139)
Symmetry-distinct sites (fractional):
Tb: 0.000 0.000 0.174 [4 per cell]
Tb: 0.000 0.500 0.000 [4 per cell]
Sn: 0.000 0.000 0.361 [4 per cell]
O: 0.000 0.000 0.000 [2 per cell]

***

Run b
Entry from the Alexandria database: crystalline Tb4Sn2O at its relaxed geometry (PBE-GGA).

Unit cell a=6.417 b=6.706 c=9.167 alpha=90.00 beta=110.30 gamma=90.00
Space group P2_1/m (No. 11)
Symmetry-distinct sites (fractional):
Tb: 0.036 0.001 0.292 [4 per cell]
Tb: 0.353 0.250 0.049 [2 per cell]
Tb: 0.429 0.250 0.657 [2 per cell]
Sn: 0.194 0.750 0.028 [2 per cell]
Sn: 0.334 0.750 0.597 [2 per cell]
O: 0.199 0.250 0.789 [2 per cell]

***

Least stable of them? run a.

***

Run a
Entry from the Alexandria database: crystalline Tb2SnO at its relaxed geometry (PBE-GGA).

Unit cell a=4.522 b=4.522 c=8.847 alpha=90.00 beta=90.00 gamma=90.00
Space group P4/nmm (No. 129, origin choice 2)
Symmetry-distinct sites (fractional):
Tb: 0.250 0.250 0.166 [2 per cell]
Tb: 0.250 0.750 0.500 [2 per cell]
Sn: 0.250 0.250 0.800 [2 per cell]
O: 0.250 0.250 0.426 [2 per cell]

***

Run b
Entry from the Alexandria database: crystalline Tb2SnO at its relaxed geometry (PBE-GGA).

Unit cell a=3.5687 b=3.5687 c=22.8147 alpha=90.00 beta=90.00 gamma=120.00
Space group R-3m (No. 166, hexagonal axes)
Symmetry-distinct sites (fractional):
Tb: 0.0000 0.0000 0.2243 [6 per cell]
Sn: 0.0000 0.0000 0.0000 [3 per cell]
O: 0.0000 0.0000 0.5000 [3 per cell]

***

Run c
Entry from the Alexandria database: crystalline Tb2SnO at its relaxed geometry (PBE-GGA).

Unit cell a=3.159 b=3.159 c=7.787 alpha=90.00 beta=90.00 gamma=90.00
Space group P4/mmm (No. 123)
Symmetry-distinct sites (fractional):
Tb: 0.000 0.000 0.199 [2 per cell]
Sn: 0.500 0.500 0.500 [1 per cell]
O: 0.500 0.500 0.000 [1 per cell]

***

Least stable of them? run c.

***

Run a
Entry from the Alexandria database: crystalline Tc3SnO at its relaxed geometry (PBE-GGA).

Unit cell a=4.150 b=4.150 c=4.150 alpha=90.00 beta=90.00 gamma=90.00
Space group Pm-3m (No. 221)
Symmetry-distinct sites (fractional):
Tc: 0.000 0.000 0.500 [3 per cell]
Sn: 0.500 0.500 0.500 [1 per cell]
O: 0.000 0.000 0.000 [1 per cell]

***

Run b
Entry from the Alexandria database: crystalline Tc3SnO at its relaxed geometry (PBE-GGA).

Unit cell a=5.093 b=5.093 c=5.093 alpha=90.00 beta=90.00 gamma=90.00
Space group Pm-3m (No. 221)
Symmetry-distinct sites (fractional):
Tc: 0.000 0.000 0.500 [3 per cell]
Sn: 0.000 0.000 0.000 [1 per cell]
O: 0.500 0.500 0.500 [1 per cell]

***

Least stable of them? run b.

***

Run a
Entry from the Alexandria database: crystalline SnTe3O at its relaxed geometry (PBE-GGA).

Unit cell a=5.642 b=5.642 c=5.642 alpha=90.00 beta=90.00 gamma=90.00
Space group Pm-3m (No. 221)
Symmetry-distinct sites (fractional):
Sn: 0.000 0.000 0.000 [1 per cell]
Te: 0.000 0.000 0.500 [3 per cell]
O: 0.500 0.500 0.500 [1 per cell]

***

Run b
Entry from the Alexandria database: crystalline SnTe3O at its relaxed geometry (PBE-GGA).

Unit cell a=4.935 b=4.935 c=4.935 alpha=90.00 beta=90.00 gamma=90.00
Space group Pm-3m (No. 221)
Symmetry-distinct sites (fractional):
Sn: 0.000 0.000 0.000 [1 per cell]
Te: 0.000 0.500 0.500 [3 per cell]
O: 0.500 0.500 0.500 [1 per cell]

***

Least stable of them? run a.